1.
Material: TlCo3Au
Method: DFT, PBE
State: optimized geometry

a b c (Å): 4.760 4.760 4.760
angles (deg): 90.00 90.00 90.00
Space group Pm-3m (No. 221)
Symmetry-distinct sites (fractional):
Tl 0.000 0.000 0.000 (multiplicity 1)
Co 0.000 0.000 0.500 (multiplicity 3)
Au 0.500 0.500 0.500 (multiplicity 1)

Results
ΔE to the lowest computed polymorph ... 444.2 meV per atom
M_tot ... 1.013 μB per atom
Energy of formation from the pure elements ... 1.733 eV/atom

2.
Material: Cr2CuMo
Method: DFT, PBE
State: optimized geometry

a b c (Å): 5.227 8.093 2.475
angles (deg): 90.00 90.00 90.00
Space group Cmmm (No. 65)
Symmetry-distinct sites (fractional):
Cr 0.250 0.250 0.000 (multiplicity 4)
Cu 0.000 0.000 0.500 (multiplicity 2)
Mo 0.000 0.500 0.500 (multiplicity 2)

Results
ΔE to the lowest computed polymorph ... 193.0 meV per atom
M_tot ... 0.000 μB per atom
Energy of formation from the pure elements ... 0.387 eV/atom

3.
Material: PmCoGeN
Method: DFT, PBE
State: optimized geometry

a b c (Å): 3.785 3.785 8.571
angles (deg): 90.00 90.00 90.00
Space group P4/nmm (No. 129, origin choice 2)
Symmetry-distinct sites (fractional):
Pm 0.250 0.250 0.152 (multiplicity 2)
Co 0.250 0.750 0.500 (multiplicity 2)
Ge 0.250 0.250 0.652 (multiplicity 2)
N 0.250 0.250 0.878 (multiplicity 2)

Results
Uncorrected formation energy ... -0.79 eV/atom
M_tot ... 0.000 μB per atom

4.
Material: Tm6ZnBi3
Method: DFT, PBE
State: optimized geometry

a b c (Å): 10.858 15.638 7.020
angles (deg): 90.00 90.00 90.00
Space group Cmc2_1 (No. 36)
Symmetry-distinct sites (fractional):
Tm 0.000 0.022 0.000 (multiplicity 4)
Tm 0.000 0.258 0.061 (multiplicity 4)
Tm 0.173 0.273 0.553 (multiplicity 8)
Tm 0.202 0.436 0.191 (multiplicity 8)
Zn 0.000 0.149 0.710 (multiplicity 4)
Bi 0.000 0.436 0.512 (multiplicity 4)
Bi 0.175 0.108 0.299 (multiplicity 8)

Results
M_tot ... 0.000 μB per atom
Energy of formation from the pure elements ... -0.335 eV/atom